Material: NiOs2PbO8
Method: DFT, PBE+U
State: optimized geometry

Output
- D(E_F): 0.244 states/eV/atom
- Magnetic moment: 5.9 μB per formula unit
- V: 16.654 Å³ per atom
- Total DFT energy (no corrections): -6.546 eV per atom

Lattice parameters (Å, degrees): 5.8014 5.8014 6.8565 90.00 90.00 120.00
Space group P-3 (No. 147)
One atom of each set of equivalent atoms:
Ni 0.0000 0.0000 0.0000
Os 0.3333 0.6667 0.2483
Pb 0.0000 0.0000 0.5000
O 0.1459 0.3140 0.1931
O 0.3333 0.6667 0.5101